Record 1
# TaPd2I PBE optimized geometry
# Uncorrected formation energy, meV per atom: 563
# Excess energy over the best structure of this formula in the dataset, meV per atom: 71
# E_tot, eV/atom: -5.38
data_TaPd2I
_cell_length_a 6.729
_cell_length_b 6.729
_cell_length_c 6.729
_cell_angle_alpha 90.00
_cell_angle_beta 90.00
_cell_angle_gamma 90.00
_symmetry_space_group_name_H-M 'F m -3 m'
_symmetry_Int_Tables_number 225
_symmetry_space_group_name_Hall '-F 4 2 3'
loop_
_atom_site_label
_atom_site_fract_x
_atom_site_fract_y
_atom_site_fract_z
Ta1 0.000 0.000 0.000
Pd1 0.250 0.250 0.250
I1 0.000 0.000 0.500


Record 2
# PmCrPd4 PBE optimized geometry
# Calculated formation energy, meV/atom: -359
# E_tot, eV/atom: -6.22
data_PmCrPd4
_cell_length_a 7.597
_cell_length_b 7.597
_cell_length_c 7.597
_cell_angle_alpha 90.00
_cell_angle_beta 90.00
_cell_angle_gamma 90.00
_symmetry_space_group_name_H-M 'F -4 3 m'
_symmetry_Int_Tables_number 216
_symmetry_space_group_name_Hall 'F -4 2 3'
loop_
_atom_site_label
_atom_site_fract_x
_atom_site_fract_y
_atom_site_fract_z
Pm1 0.000 0.000 0.000
Cr1 0.250 0.250 0.750
Pd1 0.124 0.124 0.376